# 1
Below is a geometry-optimized VPd2I6 structure, with properties calculated at the PBE level.

Cell and atoms, written as CIF:
```
data_VPd2I6
_chemical_formula_sum 'V2 Pd4 I12'
_space_group_name_H-M_alt 'P 1'
_space_group_IT_number 1
_cell_length_a 6.992
_cell_length_b 7.347
_cell_length_c 12.821
_cell_angle_alpha 90.00
_cell_angle_beta 115.69
_cell_angle_gamma 90.00
loop_
_space_group_symop_operation_xyz
'x,y,z'
loop_
_atom_site_label
_atom_site_fract_x
_atom_site_fract_y
_atom_site_fract_z
V1 0.000 0.000 0.000
V2 0.000 0.500 0.500
Pd1 0.360 0.125 0.844
Pd2 0.360 0.375 0.344
Pd3 0.640 0.625 0.656
Pd4 0.640 0.875 0.156
I1 0.084 0.195 0.404
I2 0.084 0.305 0.904
I3 0.265 0.684 0.435
I4 0.265 0.816 0.935
I5 0.364 0.070 0.217
I6 0.364 0.430 0.717
I7 0.636 0.570 0.283
I8 0.636 0.930 0.783
I9 0.735 0.184 0.065
I10 0.735 0.316 0.565
I11 0.916 0.695 0.096
I12 0.916 0.805 0.596
```

Results
Crystal system: monoclinic
Density of states at the Fermi level, states/eV/f.u.: 9.1
Space group: No. 14
Magnetic moment, μB/atom: 0.180


# 2
Below is a geometry-optimized VPd2I structure, with properties calculated at the PBE level.

Cell and atoms, written as CIF:
```
data_VPd2I
_chemical_formula_sum 'V2 Pd4 I2'
_space_group_name_H-M_alt 'P 1'
_space_group_IT_number 1
_cell_length_a 6.410
_cell_length_b 6.410
_cell_length_c 6.410
_cell_angle_alpha 118.24
_cell_angle_beta 118.24
_cell_angle_gamma 93.07
loop_
_space_group_symop_operation_xyz
'x,y,z'
loop_
_atom_site_label
_atom_site_fract_x
_atom_site_fract_y
_atom_site_fract_z
V1 0.000 0.000 0.000
V2 0.750 0.250 0.500
Pd1 0.081 0.625 0.956
Pd2 0.375 0.331 0.456
Pd3 0.669 0.125 0.044
Pd4 0.875 0.919 0.544
I1 0.250 0.750 0.500
I2 0.500 0.500 0.000
```

Results
Crystal system: tetragonal
Density of states at the Fermi level, states/eV/f.u.: 4.0
Space group: No. 122
Magnetic moment, μB/atom: 0.277
Polymorph energy (0 for the lowest one), meV per atom: 173.1


# 3
Below is a geometry-optimized PdW2I structure, with properties calculated at the PBE level.

Cell and atoms, written as CIF:
```
data_PdW2I
_chemical_formula_sum 'Pd1 W2 I1'
_space_group_name_H-M_alt 'P 1'
_space_group_IT_number 1
_cell_length_a 4.594
_cell_length_b 4.594
_cell_length_c 4.594
_cell_angle_alpha 60.00
_cell_angle_beta 60.00
_cell_angle_gamma 60.00
loop_
_space_group_symop_operation_xyz
'x,y,z'
loop_
_atom_site_label
_atom_site_fract_x
_atom_site_fract_y
_atom_site_fract_z
Pd1 0.000 0.000 0.000
W1 0.250 0.250 0.250
W2 0.750 0.750 0.750
I1 0.500 0.500 0.500
```

Results
Crystal system: cubic
Density of states at the Fermi level, states/eV/f.u.: 3.6
Space group: No. 225
Magnetic moment, μB/atom: 0.000
Polymorph energy (0 for the lowest one), meV per atom: 0.0


Computed values of formation energy (no corrections) (unit: eV per atom) for the preceding records, in sequence: -0.2130, 0.5584, 1.0483.
Computed values of calculated volume (unit: A^3/atom) for the preceding records, in sequence: 32.972, 23.858, 17.138.